Entry 1:
Compound: AcSmSi2
Source: Alexandria
Functional: PBE
Structure: relaxed

formation energy (no corrections): -45.9 kJ per mole of atoms
symmetry: No. 123
calculated density: 7.033 g cm⁻³
offset from the most stable computed form: 160 meV per atom
spin magnetization: 0.000 μB per atom

a b c (Å): 3.9344 3.9344 6.6125
angles (deg): 90.00 90.00 90.00
With the nearest neighbours (Å) after each atom.
Positions (direct):
Ac 0.0000 0.0000 0.0000  2 Sm 3.31, 8 Si 3.47
Sm 0.0000 0.0000 0.5000  8 Si 3.05, 2 Ac 3.31
Si 0.5000 0.5000 0.3124  1 Si 2.48
Si 0.5000 0.5000 0.6876  1 Si 2.48


Entry 2:
Compound: PaTaSb2
Source: Alexandria
Functional: PBE
Structure: relaxed

formation energy (no corrections): 28.7 kJ per mole of atoms
symmetry: No. 166
calculated density: 11.256 g cm⁻³
offset from the most stable computed form: 379 meV per atom
spin magnetization: 0.000 μB per atom

a b c (Å): 11.2611 11.2611 11.2611
angles (deg): 16.18 16.18 16.18
With the nearest neighbours (Å) after each atom.
Positions (direct):
Pa 0.0000 0.0000 0.0000  6 Pa 3.17, 6 Sb 3.26
Ta 0.5000 0.5000 0.5000  2 Sb 2.86, 6 Ta 3.17
Sb 0.4141 0.4141 0.4141  1 Ta 2.86, 6 Sb 3.17
Sb 0.5859 0.5859 0.5859  1 Ta 2.86, 6 Sb 3.17


Please write out number 2 again, unchanged.
Compound: PaTaSb2
Source: Alexandria
Functional: PBE
Structure: relaxed

formation energy (no corrections): 28.7 kJ per mole of atoms
symmetry: No. 166
calculated density: 11.256 g cm⁻³
offset from the most stable computed form: 379 meV per atom
spin magnetization: 0.000 μB per atom

a b c (Å): 11.2611 11.2611 11.2611
angles (deg): 16.18 16.18 16.18
With the nearest neighbours (Å) after each atom.
Positions (direct):
Pa 0.0000 0.0000 0.0000  6 Pa 3.17, 6 Sb 3.26
Ta 0.5000 0.5000 0.5000  2 Sb 2.86, 6 Ta 3.17
Sb 0.4141 0.4141 0.4141  1 Ta 2.86, 6 Sb 3.17
Sb 0.5859 0.5859 0.5859  1 Ta 2.86, 6 Sb 3.17